[1]
First-principles (meta-GGA SCAN) data for a crystal of Tl3Sb relaxed with PBEsol, as listed in Alexandria.

Results
Fermi-level density of states   1.55 states/eV/cell
Symmetry   Pmm2
V   28.35 A^3/atom
Formation energy without anion corrections   0.03 eV/atom
Total magnetic moment   0.00 μB per cell
Final energy   -254.22 eV per cell

a b c (Å): 3.2475 5.4952 6.3556
angles (deg): 90.00 90.00 90.00
Closest atoms and distances in Å follow each position.
Positions (direct):
Tl  0.0000  0.0000  0.0000  8 Tl 3.25-3.47, 4 Sb 3.55-3.59
Tl  0.0000  0.5000  0.2981  8 Tl 3.25-3.63, 4 Sb 3.45
Tl  0.5000  0.5000  0.7876  10 Tl 3.25-3.63, 2 Sb 3.29
Sb  0.5000  0.0000  0.5039  2 Sb 3.25, 10 Tl 3.29-3.59


[2]
First-principles (meta-GGA SCAN) data for a crystal of TlSbW2 relaxed with PBEsol, as listed in Alexandria.

Results
Fermi-level density of states   2.92 states/eV/cell
Symmetry   C2/m
V   18.71 A^3/atom
Formation energy without anion corrections   1.21 eV/atom
Total magnetic moment   0.00 μB per cell
Final energy   -244.15 eV per cell

a b c (Å): 5.4171 5.4171 3.0042
angles (deg): 101.86 101.86 113.65
Closest atoms and distances in Å follow each position.
Positions (direct):
Tl  0.0000  0.0000  0.0000  4 W 2.81, 2 Sb 2.96, 2 Tl 3.00
Sb  0.5000  0.5000  0.0000  4 W 2.81, 2 Tl 2.96, 2 Sb 3.00
W  0.0000  0.5000  0.5000  2 Tl 2.81, 2 Sb 2.81, 4 W 2.96-3.00
W  0.5000  0.0000  0.5000  2 Tl 2.81, 2 Sb 2.81, 4 W 2.96-3.00


What did the second record say?
First-principles (meta-GGA SCAN) data for a crystal of TlSbW2 relaxed with PBEsol, as listed in Alexandria.

Results
Fermi-level density of states   2.92 states/eV/cell
Symmetry   C2/m
V   18.71 A^3/atom
Formation energy without anion corrections   1.21 eV/atom
Total magnetic moment   0.00 μB per cell
Final energy   -244.15 eV per cell

a b c (Å): 5.4171 5.4171 3.0042
angles (deg): 101.86 101.86 113.65
Closest atoms and distances in Å follow each position.
Positions (direct):
Tl  0.0000  0.0000  0.0000  4 W 2.81, 2 Sb 2.96, 2 Tl 3.00
Sb  0.5000  0.5000  0.0000  4 W 2.81, 2 Tl 2.96, 2 Sb 3.00
W  0.0000  0.5000  0.5000  2 Tl 2.81, 2 Sb 2.81, 4 W 2.96-3.00
W  0.5000  0.0000  0.5000  2 Tl 2.81, 2 Sb 2.81, 4 W 2.96-3.00